Record 1
The following is a PBE calculation of a geometry-optimized Ta2OsW structure, from Alexandria via LeMat-Bulk.

a b c (Å): 4.5310 2.8355 5.2592
angles (deg): 78.95 90.00 90.00
Atoms (fractional coordinates):
Os (0.5000, 0.7517, 0.7531)
W (0.0000, 0.4949, 0.4964)
Ta (0.5000, 0.2577, 0.2553)
Ta (0.0000, 0.9957, 0.9953)

* offset from the most stable computed form: 17.18 kJ per mole of atoms
* space-group type: No. 6
* spin magnetization: 0.00 μB/cell

Record 2
The following is a PBE calculation of a geometry-optimized Be2SiGeRu structure, from Alexandria via LeMat-Bulk.

a b c (Å): 3.9273 4.9786 3.9273
angles (deg): 90.00 90.00 90.00
Atoms (fractional coordinates):
Ru (0.5000, 0.5000, 0.5000)
Ge (0.0000, 0.5000, 0.0000)
Be (0.5000, 0.0000, 0.0000)
Be (0.0000, 0.0000, 0.5000)
Si (0.0000, 0.0000, 0.0000)

* space-group type: No. 123
* formation energy (no corrections): 1085 meV per atom
* spin magnetization: 0.27 μB/cell

Record 3
The following is a PBE calculation of a geometry-optimized HfSb2TePd structure, from Alexandria via LeMat-Bulk.

a b c (Å): 5.4784 5.4784 5.4485
angles (deg): 90.00 90.00 90.00
Atoms (fractional coordinates):
Sb (0.5000, 0.0000, 0.0000)
Sb (0.0000, 0.5000, 0.0000)
Hf (0.0000, 0.0000, 0.0000)
Pd (0.5000, 0.5000, 0.5000)
Te (0.0000, 0.0000, 0.5000)

* offset from the most stable computed form: 0.00 kJ per mole of atoms
* space-group type: No. 123
* formation energy (no corrections): 474 meV per atom
* spin magnetization: 0.00 μB/cell

Record 4
The following is a PBE calculation of a geometry-optimized Dy2Cu5Pt5 structure, from Alexandria via LeMat-Bulk.

a b c (Å): 4.3725 5.0623 9.0379
angles (deg): 90.00 90.00 90.00
Atoms (fractional coordinates):
Cu (0.5000, 0.5000, 0.5000)
Cu (0.5000, 0.7497, 0.7433)
Cu (0.5000, 0.7497, 0.2567)
Cu (0.5000, 0.2503, 0.2567)
Cu (0.5000, 0.2503, 0.7433)
Pt (0.0000, 0.5000, 0.6649)
Pt (0.5000, 0.0000, 0.0000)
Pt (0.0000, 0.5000, 0.3351)
Pt (0.0000, 0.0000, 0.1756)
Pt (0.0000, 0.0000, 0.8244)
Dy (0.0000, 0.0000, 0.5000)
Dy (0.0000, 0.5000, 0.0000)

* DFT total energy: -5.60 eV/atom
* space-group type: No. 47
* spin magnetization: 0.00 μB/cell

Record 5
The following is a PBE calculation of a geometry-optimized InCuW2 structure, from Alexandria via LeMat-Bulk.

a b c (Å): 3.3167 3.3167 6.1385
angles (deg): 90.00 90.00 90.00
Atoms (fractional coordinates):
W (0.5000, 0.5000, 0.2366)
W (0.0000, 0.0000, 0.0426)
Cu (0.0000, 0.0000, 0.4927)
In (0.5000, 0.5000, 0.7281)

* DFT total energy: -7.81 eV/atom
* space-group type: No. 99
* spin magnetization: 0.00 μB/cell

Record 6
The following is a PBE calculation of a geometry-optimized K2NpZn2Se4 structure, from Alexandria via LeMat-Bulk.

a b c (Å): 4.2511 7.9760 8.0351
angles (deg): 107.69 105.34 90.00
Atoms (fractional coordinates):
K (0.8712, 0.4450, 0.7424)
K (0.1288, 0.5550, 0.2576)
Se (0.4814, 0.2442, 0.9629)
Se (0.2070, 0.1749, 0.4140)
Se (0.5186, 0.7558, 0.0371)
Se (0.7930, 0.8251, 0.5860)
Zn (0.6701, 0.9883, 0.3402)
Zn (0.3299, 0.0117, 0.6598)
Np (0.0000, 0.0000, 0.0000)

* space-group type: No. 12
* formation energy (no corrections): -895 meV per atom
* spin magnetization: 4.64 μB/cell

Record 7
The following is a PBE calculation of a geometry-optimized Er3TmPu2Se6 structure, from Alexandria via LeMat-Bulk.

a b c (Å): 4.0484 8.1728 9.1007
angles (deg): 103.23 102.85 90.00
Atoms (fractional coordinates):
Se (0.6652, 0.0762, 0.3304)
Se (0.6651, 0.5877, 0.3302)
Se (0.0034, 0.7531, 0.0068)
Se (0.3348, 0.9238, 0.6696)
Se (0.3349, 0.4123, 0.6698)
Se (0.9966, 0.2469, 0.9932)
Tm (0.5000, 0.0000, 0.0000)
Pu (0.8342, 0.6669, 0.6684)
Pu (0.1658, 0.3331, 0.3316)
Er (0.5000, 0.5000, 0.0000)
Er (0.1687, 0.8336, 0.3375)
Er (0.8313, 0.1664, 0.6625)

* space-group type: No. 12
* formation energy (no corrections): -1663 meV per atom
* spin magnetization: 11.80 μB/cell

Record 8
The following is a PBE calculation of a geometry-optimized LiMg2Br structure, from Alexandria via LeMat-Bulk.

a b c (Å): 3.4942 3.3905 8.3665
angles (deg): 78.33 90.00 90.00
Atoms (fractional coordinates):
Mg (0.0000, 0.0621, 0.9980)
Mg (0.5000, 0.4422, 0.2387)
Br (0.0000, 0.2796, 0.5684)
Li (0.5000, 0.7161, 0.6948)

* offset from the most stable computed form: 0.00 kJ per mole of atoms
* space-group type: No. 6
* formation energy (no corrections): -461 meV per atom
* spin magnetization: 0.00 μB/cell

Record 9
The following is a PBE calculation of a geometry-optimized ZrOsSe structure, from Alexandria via LeMat-Bulk.

a b c (Å): 5.7346 5.7346 3.1903
angles (deg): 73.85 73.85 32.30
Atoms (fractional coordinates):
Zr (0.6594, 0.6594, 0.3406)
Se (0.3395, 0.3395, 0.6605)
Os (0.0011, 0.0011, 0.9989)

* space-group type: No. 107
* formation energy (no corrections): -88 meV per atom
* spin magnetization: 0.00 μB/cell